Crystalline Pm2SnRh at its relaxed geometry, computed with PBE.

Properties
Total moment = 0.0 μB/cell
Electronic total energy = -23.61 eV/f.u.
DFT formation energy = -0.6883 eV/atom

Cell: 3.5268 3.5268 8.0869 Å, 90.00 90.00 90.00°
Last column: nearest neighbours and their distance in Å.
Space group P4/mmm (No. 123)
Inequivalent atoms, fractional coordinates:
Pm  0.0000  0.0000  0.2149 [2 per cell]  4 Rh 3.04, 4 Sn 3.40
Sn  0.5000  0.5000  0.5000 [1 per cell]  8 Pm 3.40, 4 Sn 3.53
Rh  0.5000  0.5000  0.0000 [1 per cell]  8 Pm 3.04

=====

Crystalline CsWSeN2 at its relaxed geometry, computed with PBE.

Properties
Formation energy without anion corrections = 3015 meV/atom
Total moment = 3.0 μB/cell
Polymorph energy (0 for the lowest one) = 2663 meV/atom
Electronic total energy = -18.87 eV/f.u.

Cell: 4.1826 4.1826 6.7782 Å, 90.00 90.00 90.00°
Last column: nearest neighbours and their distance in Å.
Space group P4/mmm (No. 123)
Inequivalent atoms, fractional coordinates:
Cs  0.0000  0.0000  0.0000 [1 per cell]  4 N 2.09
W  0.5000  0.5000  0.5000 [1 per cell]  4 Se 2.96
Se  0.0000  0.0000  0.5000 [1 per cell]  4 W 2.96
N  0.0000  0.5000  0.0000 [2 per cell]  2 Cs 2.09

=====

Crystalline LaCuO3 at its relaxed geometry, computed with PBE.

Properties
Formation energy without anion corrections = -2045 meV/atom
Total moment = 0.0 μB/cell
Electronic total energy = -34.12 eV/f.u.

Cell: 5.4673 12.8351 4.0368 Å, 90.00 90.00 90.00°
Last column: nearest neighbours and their distance in Å.
Space group Ama2 (No. 40)
Inequivalent atoms, fractional coordinates:
La  0.2500  0.1651  0.0000 [4 per cell]  8 O 2.46-2.58
Cu  0.2500  0.4240  0.1466 [4 per cell]  4 O 1.84-1.90
O  0.0000  0.0000  0.8645 [4 per cell]  2 Cu 1.90
O  0.0159  0.3335  0.9926 [8 per cell]  1 Cu 1.84

=====

Crystalline Tl2RuCl8 at its relaxed geometry, computed with PBE.

Properties
Formation energy without anion corrections = -583 meV/atom
Total moment = 1.3 μB/cell
Electronic total energy = -35.20 eV/f.u.

Cell: 11.2181 9.0233 6.4868 Å, 90.00 100.04 90.00°
Last column: nearest neighbours and their distance in Å.
Space group C2/m (No. 12)
Inequivalent atoms, fractional coordinates:
Tl  0.1694  0.0000  0.4666 [4 per cell]  3 Cl 2.62-2.84
Ru  0.0000  0.5000  0.5000 [2 per cell]  6 Cl 2.34-2.36
Cl  0.0622  0.0000  0.7950 [4 per cell]  2 Tl 2.62-2.84
Cl  0.1126  0.3253  0.3431 [8 per cell]  1 Ru 2.36
Cl  0.1579  0.5000  0.7871 [4 per cell]  1 Ru 2.34